# TaAsCl2

An optimized crystal structure of TaAsCl2 (PBE, the Alexandria database).

Geometry as extended XYZ:
```
4
Lattice="4.627 0.000 0.000 0.000 2.990 0.000 -0.865 0.000 5.244" Properties=species:S:1:pos:R:3 pbc="T T T"
Ta 0.000 0.000 0.000
As -0.432 1.495 2.622
Cl 1.881 0.000 2.622
Cl 2.314 1.495 0.000
```

Calculated values
The value obtained for the formation energy from raw total energies is 116 kJ/mol of formula units.

---

# AlGaSb

An optimized crystal structure of AlGaSb (PBE, the Alexandria database).

Geometry as extended XYZ:
```
6
Lattice="3.568 -5.044 0.000 3.568 5.044 0.000 -3.026 0.000 3.670" Properties=species:S:1:pos:R:3 pbc="T T T"
Al 3.568 3.650 0.000
Al 3.568 -3.650 0.000
Ga -1.502 0.000 1.844
Ga 3.578 0.000 0.010
Sb 2.056 1.925 1.835
Sb 2.056 -1.925 1.835
```

Calculated values
The value obtained for the formation energy from raw total energies is 16 kJ/mol of formula units.

---

# Pr3Y8

An optimized crystal structure of Pr3Y8 (PBE, the Alexandria database).

Geometry as extended XYZ:
```
11
Lattice="1.808 1.044 32.230 -1.808 1.044 32.230 0.000 -2.088 32.230" Properties=species:S:1:pos:R:3 pbc="T T T"
Pr 0.000 0.000 0.000
Pr 0.000 0.000 26.325
Pr 0.000 0.000 70.366
Y 0.000 0.000 8.872
Y 0.000 0.000 17.564
Y 0.000 0.000 35.180
Y 0.000 0.000 43.996
Y 0.000 0.000 52.696
Y 0.000 0.000 61.511
Y 0.000 0.000 79.127
Y 0.000 0.000 87.819
```

Calculated values
The formation enthalpy at 0 K comes out at 17 meV/atom.

---

# TaTiCr3

An optimized crystal structure of TaTiCr3 (PBE, the Alexandria database).

Geometry as extended XYZ:
```
5
Lattice="4.275 0.000 0.000 0.000 4.275 0.000 0.000 0.000 4.275" Properties=species:S:1:pos:R:3 pbc="T T T"
Ta 0.000 0.000 0.000
Ti 2.137 2.137 2.137
Cr 0.000 2.137 2.137
Cr 2.137 0.000 2.137
Cr 2.137 2.137 0.000
```

Calculated values
The formation enthalpy at 0 K comes out at 1255 meV/atom.

---

What did the fourth record say?
# TaTiCr3

An optimized crystal structure of TaTiCr3 (PBE, the Alexandria database).

Geometry as extended XYZ:
```
5
Lattice="4.275 0.000 0.000 0.000 4.275 0.000 0.000 0.000 4.275" Properties=species:S:1:pos:R:3 pbc="T T T"
Ta 0.000 0.000 0.000
Ti 2.137 2.137 2.137
Cr 0.000 2.137 2.137
Cr 2.137 0.000 2.137
Cr 2.137 2.137 0.000
```

Calculated values
The formation enthalpy at 0 K comes out at 1255 meV/atom.